No. 1
DFT (PBE) results for a relaxed structure of CsMg2H7.

Structure (POSCAR):
```
CsMg2H7
1.0
2.926 -5.499 0.000
2.926 5.499 0.000
0.000 0.000 3.876
Cs Mg H
1 2 7
direct
0.000 0.000 0.000 Cs
0.268 0.732 0.500 Mg
0.732 0.268 0.500 Mg
0.155 0.385 0.500 H
0.255 0.745 0.000 H
0.385 0.155 0.500 H
0.500 0.500 0.500 H
0.615 0.845 0.500 H
0.745 0.255 0.000 H
0.845 0.615 0.500 H
```

Computed properties:
Space-group type = Cmmm (65)
Uncorrected energy = -25.289 eV per cell
Size of the total moment = 0.0 Bohr magnetons per cell



No. 2
DFT (PBE) results for a relaxed structure of Cs2Mg2H5.

Structure (POSCAR):
```
Cs2Mg2H5
1.0
6.028 -2.111 0.000
6.028 2.111 0.000
-2.193 0.000 6.984
Cs Mg H
2 2 5
direct
0.090 0.090 0.326 Cs
0.910 0.910 0.674 Cs
0.344 0.344 0.072 Mg
0.656 0.656 0.928 Mg
0.172 0.172 0.978 H
0.377 0.377 0.336 H
0.500 0.500 0.000 H
0.623 0.623 0.664 H
0.828 0.828 0.022 H
```

Computed properties:
Space-group type = C2/m (12)
Uncorrected energy = -22.609 eV per cell
Size of the total moment = 0.0 Bohr magnetons per cell



No. 3
DFT (PBE) results for a relaxed structure of Cs3Mg2H7.

Structure (POSCAR):
```
Cs3Mg2H7
1.0
-2.135 2.135 11.650
2.135 -2.135 11.650
2.135 2.135 -11.650
Cs Mg H
3 2 7
direct
0.000 0.000 0.000 Cs
0.183 0.183 0.000 Cs
0.817 0.817 0.000 Cs
0.409 0.409 0.000 Mg
0.591 0.591 0.000 Mg
0.091 0.591 0.500 H
0.326 0.326 0.000 H
0.409 0.909 0.500 H
0.500 0.500 0.000 H
0.591 0.091 0.500 H
0.674 0.674 0.000 H
0.909 0.409 0.500 H
```

Computed properties:
Polymorph energy (0 for the lowest one) = 0 meV/atom
Space-group type = I4/mmm (139)
Uncorrected energy = -31.921 eV per cell
Size of the total moment = 0.0 Bohr magnetons per cell



No. 4
DFT (PBE) results for a relaxed structure of Cs3MgH4.

Structure (POSCAR):
```
Cs3MgH4
1.0
6.473 0.000 0.000
0.000 10.002 0.000
0.000 0.000 6.819
Cs Mg H
6 2 8
direct
0.000 0.000 0.000 Cs
0.000 0.237 0.508 Cs
0.000 0.763 0.508 Cs
0.500 0.263 0.008 Cs
0.500 0.500 0.500 Cs
0.500 0.737 0.008 Cs
0.000 0.500 0.989 Mg
0.500 0.000 0.489 Mg
0.000 0.303 0.040 H
0.000 0.697 0.040 H
0.245 0.500 0.840 H
0.255 0.000 0.340 H
0.500 0.197 0.540 H
0.500 0.803 0.540 H
0.745 0.000 0.340 H
0.755 0.500 0.840 H
```

Computed properties:
Space-group type = Imm2 (44)
Uncorrected energy = -36.865 eV per cell
Size of the total moment = 2.0 Bohr magnetons per cell



No. 5
DFT (PBE) results for a relaxed structure of CsMg2H6.

Structure (POSCAR):
```
CsMg2H6
1.0
0.000 4.015 4.015
4.015 0.000 4.015
4.015 4.015 0.000
Cs Mg H
1 2 6
direct
0.000 0.000 0.000 Cs
0.250 0.250 0.250 Mg
0.750 0.750 0.750 Mg
0.382 0.382 0.618 H
0.382 0.618 0.382 H
0.382 0.618 0.618 H
0.618 0.382 0.382 H
0.618 0.382 0.618 H
0.618 0.618 0.382 H
```

Computed properties:
Polymorph energy (0 for the lowest one) = 772 meV/atom
Space-group type = Fm-3m (225)
Uncorrected energy = -16.708 eV per cell
Size of the total moment = 0.0 Bohr magnetons per cell



No. 6
DFT (PBE) results for a relaxed structure of CsMg3H.

Structure (POSCAR):
```
CsMg3H
1.0
5.307 0.000 0.000
0.000 5.307 0.000
0.000 0.000 5.307
Cs Mg H
1 3 1
direct
0.000 0.000 0.000 Cs
0.000 0.500 0.500 Mg
0.500 0.000 0.500 Mg
0.500 0.500 0.000 Mg
0.500 0.500 0.500 H
```

Computed properties:
Space-group type = Pm-3m (221)
Uncorrected energy = -6.242 eV per cell
Size of the total moment = 0.0 Bohr magnetons per cell